Entry from Alexandria: a geometry-optimized TmScHg6 structure (PBE).

Cell: 5.9927 5.9927 5.9927 Å, 86.78 86.78 86.78°
Closest atoms and distances in Å follow each position.
Atoms (fractional coordinates):
Tm  0.0000  0.0000  0.0000  6 Hg 3.04
Sc  0.5000  0.5000  0.5000  6 Hg 2.93
Hg  0.1622  0.1622  0.5325  5 Hg 2.88-3.17, 1 Sc 2.93, 1 Tm 3.04
Hg  0.1622  0.5325  0.1622  5 Hg 2.88-3.17, 1 Sc 2.93, 1 Tm 3.04
Hg  0.4675  0.8378  0.8378  5 Hg 2.88-3.17, 1 Sc 2.93, 1 Tm 3.04
Hg  0.5325  0.1622  0.1622  5 Hg 2.88-3.17, 1 Sc 2.93, 1 Tm 3.04
Hg  0.8378  0.4675  0.8378  5 Hg 2.88-3.17, 1 Sc 2.93, 1 Tm 3.04
Hg  0.8378  0.8378  0.4675  5 Hg 2.88-3.17, 1 Sc 2.93, 1 Tm 3.04

## Properties
**M_tot**: 0.000 μB per atom
**ΔE_f**: -0.0626 eV per atom
**Polymorph energy (0 for the lowest one)**: 182 meV/atom


Entry from Alexandria: a geometry-optimized Nd2ErHg8 structure (PBE).

Cell: 8.4130 8.4130 7.2640 Å, 108.92 108.92 35.09°
Closest atoms and distances in Å follow each position.
Atoms (fractional coordinates):
Nd  0.2103  0.2103  0.1572  10 Hg 3.21-3.46
Nd  0.7897  0.7897  0.8428  10 Hg 3.21-3.46
Er  0.5000  0.5000  0.5000  8 Hg 3.01-3.28
Hg  0.0187  0.0187  0.2296  7 Hg 3.09-3.38, 2 Er 3.28, 1 Nd 3.29
Hg  0.1517  0.1517  0.6626  5 Hg 3.09-3.27, 3 Nd 3.33-3.39, 2 Er 3.43
Hg  0.3350  0.3350  0.6092  1 Er 3.01, 4 Hg 3.05-3.27, 3 Nd 3.21-3.27
Hg  0.4059  0.4059  0.0553  4 Hg 3.05-3.38, 1 Er 3.07, 2 Nd 3.21
Hg  0.5941  0.5941  0.9447  4 Hg 3.05-3.38, 1 Er 3.07, 2 Nd 3.21
Hg  0.6650  0.6650  0.3908  1 Er 3.01, 4 Hg 3.05-3.27, 3 Nd 3.21-3.27
Hg  0.8483  0.8483  0.3374  5 Hg 3.09-3.27, 3 Nd 3.33-3.39, 2 Er 3.43
Hg  0.9813  0.9813  0.7704  7 Hg 3.09-3.38, 2 Er 3.28, 1 Nd 3.29

## Properties
**M_tot**: 0.000 μB per atom
**ΔE_f**: -0.3370 eV per atom


Entry from Alexandria: a geometry-optimized LaNd3Pt structure (PBE).

Cell: 7.8778 7.8778 6.3186 Å, 90.00 90.00 120.00°
Closest atoms and distances in Å follow each position.
Atoms (fractional coordinates):
La  0.3333  0.6667  0.2500  12 Nd 3.80-3.94
La  0.6667  0.3333  0.7500  12 Nd 3.80-3.94
Nd  0.1789  0.3578  0.7500  2 Pt 2.91
Nd  0.1789  0.8211  0.7500  2 Pt 2.91
Nd  0.3578  0.1789  0.2500  2 Pt 2.91
Nd  0.6422  0.8211  0.7500  2 Pt 2.91
Nd  0.8211  0.1789  0.2500  2 Pt 2.91
Nd  0.8211  0.6422  0.2500  2 Pt 2.91
Pt  0.0000  0.0000  0.0000  6 Nd 2.91, 2 Pt 3.16
Pt  0.0000  0.0000  0.5000  6 Nd 2.91, 2 Pt 3.16

## Properties
**M_tot**: 0.000 μB per atom
**ΔE_f**: -0.3256 eV per atom
**Polymorph energy (0 for the lowest one)**: 148 meV/atom


Entry from Alexandria: a geometry-optimized Pr4Zn2Cu structure (PBE).

Cell: 6.3359 6.3359 6.3359 Å, 109.45 109.45 109.52°
Closest atoms and distances in Å follow each position.
Atoms (fractional coordinates):
Pr  0.0000  0.0000  0.5000  2 Cu 3.17, 4 Zn 3.17
Pr  0.0000  0.5000  0.0000  2 Cu 3.17, 4 Zn 3.17
Pr  0.5000  0.0000  0.0000  2 Cu 3.17, 4 Zn 3.17
Pr  0.5000  0.5000  0.5000  2 Cu 3.17, 4 Zn 3.17
Zn  0.0000  0.5000  0.5000  8 Pr 3.17
Zn  0.5000  0.0000  0.5000  8 Pr 3.17
Cu  0.0000  0.0000  0.0000  8 Pr 3.17

## Properties
**M_tot**: 0.001 μB per atom
**ΔE_f**: -0.1146 eV per atom


Entry from Alexandria: a geometry-optimized Li5Ga12Cu2 structure (PBE).

Cell: 7.5702 7.5702 6.0396 Å, 90.36 90.36 67.68°
Closest atoms and distances in Å follow each position.
Atoms (fractional coordinates):
Li  0.0000  0.0000  0.0000  10 Ga 2.94-3.13
Li  0.2627  0.2627  0.9723  9 Ga 2.76-3.09, 1 Li 3.06
Li  0.3227  0.3227  0.4814  7 Ga 2.77-2.92, 2 Cu 2.92, 1 Li 3.06
Li  0.6773  0.6773  0.5186  7 Ga 2.77-2.92, 2 Cu 2.92, 1 Li 3.06
Li  0.7373  0.7373  0.0277  9 Ga 2.76-3.09, 1 Li 3.06
Ga  0.0690  0.6248  0.7646  1 Cu 2.55, 3 Ga 2.63-2.66, 1 Li 2.82
Ga  0.1029  0.6203  0.1987  1 Cu 2.53, 3 Ga 2.63-2.65, 2 Li 2.76-2.82
Ga  0.1037  0.1037  0.5304  5 Ga 2.63-2.66, 2 Cu 2.68, 1 Li 2.77
Ga  0.3752  0.9310  0.2354  1 Cu 2.55, 3 Ga 2.63-2.66, 1 Li 2.82
Ga  0.3797  0.8971  0.8013  1 Cu 2.53, 3 Ga 2.63-2.65, 2 Li 2.76-2.82
Ga  0.4916  0.4916  0.7895  1 Ga 2.55, 2 Cu 2.57, 1 Li 2.81
Ga  0.5084  0.5084  0.2105  1 Ga 2.55, 2 Cu 2.57, 1 Li 2.81
Ga  0.6203  0.1029  0.1987  1 Cu 2.53, 3 Ga 2.63-2.65, 2 Li 2.76-2.82
Ga  0.6248  0.0690  0.7646  1 Cu 2.55, 3 Ga 2.63-2.66, 1 Li 2.82
Ga  0.8963  0.8963  0.4696  5 Ga 2.63-2.66, 2 Cu 2.68, 1 Li 2.77
Ga  0.8971  0.3797  0.8013  1 Cu 2.53, 3 Ga 2.63-2.65, 2 Li 2.76-2.82
Ga  0.9310  0.3752  0.2354  1 Cu 2.55, 3 Ga 2.63-2.66, 1 Li 2.82
Cu  0.2776  0.7224  0.5000  8 Ga 2.53-2.68
Cu  0.7224  0.2776  0.5000  8 Ga 2.53-2.68

## Properties
**M_tot**: 0.000 μB per atom
**ΔE_f**: -0.1839 eV per atom


Entry from Alexandria: a geometry-optimized LiTe2Pd structure (PBE).

Cell: 4.1817 4.8005 5.7820 Å, 105.81 110.87 90.90°
Closest atoms and distances in Å follow each position.
Atoms (fractional coordinates):
Li  0.0000  0.0000  0.0000  1 Pd 2.73, 2 Te 2.91-2.92
Te  0.3326  0.0953  0.6582  2 Pd 2.65-2.78, 2 Li 2.91-2.92, 1 Te 2.93
Te  0.5838  0.5705  0.1458  2 Pd 2.61-2.62, 1 Te 2.93
Pd  0.2134  0.4974  0.4107  4 Te 2.61-2.78, 1 Li 2.73

## Properties
**M_tot**: 0.000 μB per atom
**E_form (uncorrected)**: -0.377 eV/atom


Entry from Alexandria: a geometry-optimized BaNb2ICl structure (PBE).

Cell: 5.3809 5.3809 6.2587 Å, 90.00 90.00 90.00°
Closest atoms and distances in Å follow each position.
Atoms (fractional coordinates):
Ba  0.0000  0.0000  0.0000  4 Nb 2.69
Nb  0.0000  0.5000  0.0000  2 Ba 2.69
Nb  0.5000  0.0000  0.0000  2 Ba 2.69
I  0.0000  0.0000  0.5000  2 Ba 3.13
Cl  0.5000  0.5000  0.5000  4 I 3.80, 8 Nb 4.13

## Properties
**M_tot**: 0.000 μB per atom
**E_form (uncorrected)**: 1.985 eV/atom


Entry from Alexandria: a geometry-optimized DyHfTcIr structure (PBE).

Cell: 4.7120 4.7120 4.7120 Å, 60.00 60.00 60.00°
Closest atoms and distances in Å follow each position.
Atoms (fractional coordinates):
Dy  0.0000  0.0000  0.0000  4 Tc 2.89, 4 Ir 2.89
Hf  0.5000  0.5000  0.5000  4 Tc 2.89, 4 Ir 2.89
Tc  0.2500  0.2500  0.2500  4 Hf 2.89, 4 Dy 2.89
Ir  0.7500  0.7500  0.7500  4 Hf 2.89, 4 Dy 2.89

## Properties
**M_tot**: 0.000 μB per atom
**ΔE_f**: -0.5675 eV per atom


Entry from Alexandria: a geometry-optimized Nd4AlCu3 structure (PBE).

Cell: 3.7887 4.5187 11.4235 Å, 90.00 90.00 90.00°
Closest atoms and distances in Å follow each position.
Atoms (fractional coordinates):
Nd  0.0000  0.0000  0.0000  6 Cu 2.98-3.07
Nd  0.0000  0.5000  0.2765  6 Cu 2.98-3.07
Nd  0.5000  0.0000  0.4816  5 Cu 3.13-3.21, 2 Al 3.14
Nd  0.5000  0.5000  0.7914  4 Al 3.13, 3 Cu 3.13-3.24
Al  0.0000  0.0000  0.7005  2 Cu 2.69
Cu  0.0000  0.5000  0.5729  2 Al 2.69
Cu  0.5000  0.0000  0.2009  2 Cu 2.68, 2 Nd 2.98
Cu  0.5000  0.5000  0.0751  2 Cu 2.68, 2 Nd 2.98

## Properties
**M_tot**: 0.000 μB per atom
**ΔE_f**: -0.1899 eV per atom


Entry from Alexandria: a geometry-optimized RbMnBr2Cl structure (PBE).

Cell: 5.4332 5.4332 5.0300 Å, 90.00 90.00 90.00°
Closest atoms and distances in Å follow each position.
Atoms (fractional coordinates):
Rb  0.0000  0.0000  0.0000  8 Br 3.70, 4 Cl 3.84
Mn  0.5000  0.5000  0.5000  2 Cl 2.52, 4 Br 2.72
Br  0.0000  0.5000  0.5000  2 Mn 2.72
Br  0.5000  0.0000  0.5000  2 Mn 2.72
Cl  0.5000  0.5000  0.0000  2 Mn 2.52

## Properties
**M_tot**: 1.000 μB per atom
**Polymorph energy (0 for the lowest one)**: 0 meV/atom
**E_form (uncorrected)**: -1.248 eV/atom


Entry from Alexandria: a geometry-optimized Ba6Al2Cd structure (PBE).

Cell: 10.1993 10.1993 10.1993 Å, 112.82 109.62 106.05°
Closest atoms and distances in Å follow each position.
Atoms (fractional coordinates):
Ba  0.0347  0.8226  0.2121  3 Al 3.57-3.64
Ba  0.2431  0.5274  0.2843  2 Al 3.52-3.70, 1 Cd 3.85
Ba  0.2431  0.9588  0.7157  2 Al 3.52-3.70, 1 Cd 3.85
Ba  0.2644  0.3212  0.5855  3 Al 3.67-3.86, 1 Cd 3.71, 1 Ba 4.04
Ba  0.2644  0.6788  0.9432  3 Al 3.67-3.86, 1 Cd 3.71, 1 Ba 4.04
Ba  0.3895  0.1774  0.2121  3 Al 3.57-3.64
Ba  0.6105  0.8226  0.7879  3 Al 3.57-3.64
Ba  0.7356  0.3212  0.0568  3 Al 3.67-3.86, 1 Cd 3.71, 1 Ba 4.04
Ba  0.7356  0.6788  0.4145  3 Al 3.67-3.86, 1 Cd 3.71, 1 Ba 4.04
Ba  0.7569  0.0412  0.2843  2 Al 3.52-3.70, 1 Cd 3.85
Ba  0.7569  0.4726  0.7157  2 Al 3.52-3.70, 1 Cd 3.85
Ba  0.9653  0.1774  0.7879  3 Al 3.57-3.64
Al  0.0000  0.1190  0.1190  1 Al 2.69
Al  0.0000  0.8810  0.8810  1 Al 2.69
Al  0.3931  0.3931  0.0000  1 Al 2.62
Al  0.6069  0.6069  0.0000  1 Al 2.62
Cd  0.0000  0.5000  0.5000  8 Ba 3.71-3.85
Cd  0.5000  0.0000  0.5000  8 Ba 3.98-4.02

## Properties
**M_tot**: 0.000 μB per atom
**ΔE_f**: -0.0902 eV per atom


Entry from Alexandria: a geometry-optimized Rb2CuSI structure (PBE).

Cell: 6.5964 6.5964 4.2769 Å, 90.00 90.00 90.00°
Closest atoms and distances in Å follow each position.
Atoms (fractional coordinates):
Rb  0.0000  0.5000  0.0000  2 S 3.30
Rb  0.5000  0.0000  0.0000  2 S 3.30
Cu  0.0000  0.0000  0.5000  2 S 2.14
S  0.0000  0.0000  0.0000  2 Cu 2.14
I  0.5000  0.5000  0.5000  8 Rb 3.93, 2 I 4.28

## Properties
**M_tot**: 0.000 μB per atom
**E_form (uncorrected)**: -0.940 eV/atom